1.
The following is a GGA-PBE calculation of ZnCrSb3 after structural relaxation, from the Alexandria database.

Results
Density   6.2 g cm⁻³
E_form (uncorrected)   465 meV/atom
Relative energy among the computed polymorphs   0.000 eV per atom
Crystal system   cubic

Unit cell a=5.052 b=5.052 c=5.052 alpha=90.00 beta=90.00 gamma=90.00
Space group Pm-3m (No. 221)
Unique sites:
1 Zn 0.000 0.000 0.000
2 Cr 0.500 0.500 0.500
3 Sb 0.000 0.500 0.500

2.
The following is a GGA-PBE calculation of Fe2ReBr after structural relaxation, from the Alexandria database.

Results
Density   10.5 g cm⁻³
E_form (uncorrected)   912 meV/atom
Relative energy among the computed polymorphs   0.361 eV per atom
Crystal system   orthorhombic

Unit cell a=5.329 b=7.943 c=2.821 alpha=90.00 beta=90.00 gamma=90.00
Space group Cmmm (No. 65)
Unique sites:
1 Fe 0.250 0.250 0.000
2 Re 0.000 0.000 0.500
3 Br 0.000 0.500 0.500

3.
The following is a GGA-PBE calculation of ZnSbSe after structural relaxation, from the Alexandria database.

Results
Density   6.4 g cm⁻³
E_form (uncorrected)   86 meV/atom
Crystal system   orthorhombic

Unit cell a=4.143 b=5.849 c=11.377 alpha=90.00 beta=90.00 gamma=90.00
Space group Fmm2 (No. 42)
Unique sites:
1 Zn 0.000 0.000 0.000
2 Sb 0.000 0.000 0.331
3 Se 0.000 0.000 0.621